Record 1
EuErAlCd after structural relaxation. Source: Alexandria, functional PBE.

Calculated values
- size of the total moment (μB/f.u.) = 7.28
- space-group type = F-43m
- ΔE_f (meV per atom) = -285

abc: 5.3023 5.3023 5.3023
angles: 60.00 60.00 60.00
Fractional positions:
Eu: 0.0000 0.0000 0.0000
Er: 0.5000 0.5000 0.5000
Al: 0.7500 0.7500 0.7500
Cd: 0.2500 0.2500 0.2500



Record 2
GdErAlCd after structural relaxation. Source: Alexandria, functional PBE.

Calculated values
- size of the total moment (μB/f.u.) = 7.50
- space-group type = F-43m
- ΔE_f (meV per atom) = -351

abc: 5.2088 5.2088 5.2088
angles: 60.00 60.00 60.00
Fractional positions:
Gd: 0.0000 0.0000 0.0000
Er: 0.5000 0.5000 0.5000
Al: 0.7500 0.7500 0.7500
Cd: 0.2500 0.2500 0.2500



Record 3
ErHfAlCd after structural relaxation. Source: Alexandria, functional PBE.

Calculated values
- size of the total moment (μB/f.u.) = 0.00
- space-group type = F-43m
- ΔE_f (meV per atom) = -170

abc: 4.9831 4.9831 4.9831
angles: 60.00 60.00 60.00
Fractional positions:
Er: 0.0000 0.0000 0.0000
Hf: 0.5000 0.5000 0.5000
Al: 0.7500 0.7500 0.7500
Cd: 0.2500 0.2500 0.2500



Record 4
HoErAlCd after structural relaxation. Source: Alexandria, functional PBE.

Calculated values
- size of the total moment (μB/f.u.) = 0.00
- space-group type = F-43m
- ΔE_f (meV per atom) = -349

abc: 5.1652 5.1652 5.1652
angles: 60.00 60.00 60.00
Fractional positions:
Ho: 0.0000 0.0000 0.0000
Er: 0.5000 0.5000 0.5000
Al: 0.7500 0.7500 0.7500
Cd: 0.2500 0.2500 0.2500



Record 5
HoErAlCd after structural relaxation. Source: Alexandria, functional PBE.

Calculated values
- size of the total moment (μB/f.u.) = 0.00
- space-group type = P4mm
- ΔE_f (meV per atom) = -364

abc: 3.6130 3.6130 7.4509
angles: 90.00 90.00 90.00
Fractional positions:
Ho: 0.0000 0.0000 0.0000
Er: 0.0000 0.0000 0.4768
Al: 0.5000 0.5000 0.2398
Cd: 0.5000 0.5000 0.7360



Record 6
LaErAlCd after structural relaxation. Source: Alexandria, functional PBE.

Calculated values
- size of the total moment (μB/f.u.) = 0.00
- space-group type = P4mm
- ΔE_f (meV per atom) = -360

abc: 3.6588 3.6588 7.8856
angles: 90.00 90.00 90.00
Fractional positions:
La: 0.0000 0.0000 0.0000
Er: 0.0000 0.0000 0.4704
Al: 0.5000 0.5000 0.2534
Cd: 0.5000 0.5000 0.7059



Number 1: E -5.16 eV/atom. Number 2: E -6.18 eV/atom. Number 3: E -4.96 eV/atom. Number 4: E -3.80 eV/atom. Number 5: E -3.81 eV/atom. Number 6: E -3.90 eV/atom.